ErTmScAg | Alexandria | GGA-PBE | relaxed; M_tot = 0.000 μB/f.u.; ΔE_f = 0.028 eV per atom; crystal system = cubic; SG = F-43m (216); density of states at the Fermi level = 3.916 states/eV/cell
1.0
5.217 0.000 0.000
2.608 4.518 0.000
2.608 1.506 4.259
Sc Tm Ag Er
1 1 1 1
direct
0.000 0.000 0.000 Sc
0.750 0.750 0.750 Tm
0.500 0.500 0.500 Ag
0.250 0.250 0.250 Er